The following is a DFT calculation (PBE-GGA) of a geometry-optimized KLi2YCl6 structure.

Results
space group: No. 1
formation energy without anion corrections: -2.02 eV/atom

abc: 6.904 6.908 7.483
angles: 62.55 62.54 60.03
Element x y z (fractional)
K: 0.000 0.000 0.000
Li: 0.214 0.212 0.361
Li: 0.724 0.726 0.825
Y: 0.517 0.517 0.449
Cl: 0.107 0.785 0.650
Cl: 0.359 0.535 0.175
Cl: 0.457 0.107 0.650
Cl: 0.536 0.930 0.174
Cl: 0.784 0.458 0.651
Cl: 0.931 0.358 0.176

=====

The following is a DFT calculation (PBE-GGA) of a geometry-optimized ScCuPdPb structure.

Results
space group: No. 216
formation energy: -0.4011 eV per atom

abc: 4.697 4.697 4.697
angles: 60.00 60.00 60.00
Element x y z (fractional)
Sc: 0.000 0.000 0.000
Cu: 0.750 0.750 0.750
Pd: 0.250 0.250 0.250
Pb: 0.500 0.500 0.500

=====

Calculated DOS(E_F) (states/eV per atom), listed in the same order as above: 0.000, 0.676
Calculated energy (eV for the cell shown), listed in the same order as above: -42.67, -20.93